(1)
5
Lattice="-1.649 2.574 2.274 -2.423 0.916 -2.793 -2.434 -2.655 1.240" Properties=species:S:1:pos:R:3 comment="PBE-GGA BeCF3, relaxed" e_above_lowest_polymorph_mev_per_atom=1004 spacegroup="Pm-3m (221)" raw_formation_energy_mev_per_atom=367 pbc="T T T"
Be -3.253 0.417 0.361
C 0.000 0.000 0.000
F -1.212 0.458 -1.397
F -1.217 -1.328 0.620
F -0.824 1.287 1.137


(2)
5
Lattice="-2.578 -2.305 -0.929 -0.070 -1.271 3.347 -2.485 2.428 0.870" Properties=species:S:1:pos:R:3 comment="PBE-GGA BeC3F, relaxed" e_above_lowest_polymorph_mev_per_atom=0 spacegroup="Pm-3m (221)" raw_formation_energy_mev_per_atom=2496 pbc="T T T"
Be 0.000 0.000 0.000
C -0.035 -0.636 1.674
C -1.242 1.214 0.435
C -1.289 -1.153 -0.465
F -2.567 -0.574 1.644


(3)
5
Lattice="-2.093 -2.433 -1.446 2.818 -1.955 -0.789 -0.258 -1.627 3.110" Properties=species:S:1:pos:R:3 comment="PBE-GGA BeCF3, relaxed" e_above_lowest_polymorph_mev_per_atom=0 spacegroup="Pm-3m (221)" raw_formation_energy_mev_per_atom=-637 pbc="T T T"
Be 0.000 0.000 0.000
C 0.234 -3.008 0.437
F 1.409 -0.978 -0.394
F -0.129 -0.814 1.555
F -1.046 -1.216 -0.723


(4)
8
Lattice="-0.200 -4.504 -2.424 -3.946 -3.162 0.796 -3.454 -0.764 -3.700" Properties=species:S:1:pos:R:3 comment="PBE-GGA BeCF2, relaxed" e_above_lowest_polymorph_mev_per_atom=191 spacegroup="Fd-3m (227)" raw_formation_energy_mev_per_atom=-558 pbc="T T T"
Be -1.900 -2.107 -1.332
Be 0.000 0.000 0.000
C -5.700 -6.322 -3.997
C -3.800 -4.215 -2.664
F -2.923 -2.635 -0.268
F -1.050 -3.306 -1.878
F -0.950 -1.054 -0.666
F -2.677 -1.436 -2.516